Below is an optimized crystal structure of Al2Sn2I, with properties calculated at the PBE level.

Cell lengths 6.6701, 6.6701, 6.6701 Å; angles 136.73, 136.73, 62.85 degrees
Sites, in units of the cell vectors:
1 Al 0.2500 0.7500 0.5000
2 Al 0.7500 0.2500 0.5000
3 Sn 0.1257 0.1257 0.0000
4 Sn 0.8743 0.8743 0.0000
5 I 0.5000 0.5000 0.0000

- Density of states at the Fermi level: 2.80 states/eV/cell
- Energy above the lowest structure with this stoichiometry: 0.012 eV per atom
- Volume: 137.7 Å³/cell
- Formation energy without anion corrections: 0.66 eV/f.u.


Below is an optimized crystal structure of Al2SnI, with properties calculated at the PBE level.

Cell lengths 8.1014, 8.1014, 8.1014 Å; angles 132.27, 132.27, 69.81 degrees
Sites, in units of the cell vectors:
1 Al 0.0811 0.6250 0.9561
2 Al 0.3750 0.3311 0.4561
3 Al 0.6689 0.1250 0.0439
4 Al 0.8750 0.9189 0.5439
5 Sn 0.0000 0.0000 0.0000
6 Sn 0.7500 0.2500 0.5000
7 I 0.2500 0.7500 0.5000
8 I 0.5000 0.5000 0.0000

- Density of states at the Fermi level: 8.30 states/eV/cell
- Energy above the lowest structure with this stoichiometry: 0.000 eV per atom
- Volume: 285.5 Å³/cell
- Formation energy without anion corrections: 1.12 eV/f.u.


Below is an optimized crystal structure of Al2SnI8, with properties calculated at the PBE level.

Cell lengths 9.0782, 9.0782, 7.1877 Å; angles 95.76, 95.76, 78.69 degrees
Sites, in units of the cell vectors:
1 Al 0.2003 0.2003 0.1560
2 Al 0.7997 0.7997 0.8440
3 Sn 0.0000 0.0000 0.5000
4 I 0.0716 0.7116 0.7412
5 I 0.1971 0.1971 0.7948
6 I 0.2884 0.9284 0.2588
7 I 0.3738 0.3738 0.2965
8 I 0.6262 0.6262 0.7035
9 I 0.7116 0.0716 0.7412
10 I 0.8029 0.8029 0.2052
11 I 0.9284 0.2884 0.2588

- Density of states at the Fermi level: 0.00 states/eV/cell
- Energy above the lowest structure with this stoichiometry: 0.005 eV per atom
- Volume: 575.9 Å³/cell
- Formation energy without anion corrections: -6.92 eV/f.u.


Below is an optimized crystal structure of Al2Sn2I, with properties calculated at the PBE level.

Cell lengths 7.0609, 7.0609, 7.0609 Å; angles 141.63, 141.63, 55.38 degrees
Sites, in units of the cell vectors:
1 Al 0.1041 0.1041 0.0000
2 Al 0.8959 0.8959 0.0000
3 Sn 0.2500 0.7500 0.5000
4 Sn 0.7500 0.2500 0.5000
5 I 0.5000 0.5000 0.0000

- Density of states at the Fermi level: 2.92 states/eV/cell
- Energy above the lowest structure with this stoichiometry: 0.000 eV per atom
- Volume: 134.6 Å³/cell
- Formation energy without anion corrections: 0.60 eV/f.u.


Below is an optimized crystal structure of AlSn2I, with properties calculated at the PBE level.

Cell lengths 5.3943, 5.3943, 5.3943 Å; angles 60.00, 60.00, 60.00 degrees
Sites, in units of the cell vectors:
1 Al 0.0000 0.0000 0.0000
2 Sn 0.2500 0.2500 0.2500
3 Sn 0.7500 0.7500 0.7500
4 I 0.5000 0.5000 0.5000

- Density of states at the Fermi level: 2.87 states/eV/cell
- Volume: 111.0 Å³/cell
- Formation energy without anion corrections: 1.28 eV/f.u.


Below is an optimized crystal structure of AlSnTeI2, with properties calculated at the PBE level.

Cell lengths 5.4751, 5.4751, 5.6169 Å; angles 90.00, 90.00, 90.00 degrees
Sites, in units of the cell vectors:
1 Al 0.0000 0.0000 0.0000
2 Sn 0.5000 0.5000 0.5000
3 Te 0.0000 0.0000 0.5000
4 I 0.0000 0.5000 0.0000
5 I 0.5000 0.0000 0.0000

- Density of states at the Fermi level: 2.72 states/eV/cell
- Energy above the lowest structure with this stoichiometry: 0.000 eV per atom
- Volume: 168.4 Å³/cell
- Formation energy without anion corrections: 0.01 eV/f.u.


Below is an optimized crystal structure of AlSn2TeI, with properties calculated at the PBE level.

Cell lengths 5.9247, 5.9247, 6.1875 Å; angles 90.00, 90.00, 90.00 degrees
Sites, in units of the cell vectors:
1 Al 0.0000 0.0000 0.0000
2 Sn 0.0000 0.5000 0.5000
3 Sn 0.5000 0.0000 0.5000
4 Te 0.5000 0.5000 0.5000
5 I 0.5000 0.5000 0.0000

- Density of states at the Fermi level: 4.29 states/eV/cell
- Volume: 217.2 Å³/cell
- Formation energy without anion corrections: 3.62 eV/f.u.


Below is an optimized crystal structure of AlSnTeI2, with properties calculated at the PBE level.

Cell lengths 6.0614, 6.0614, 5.8144 Å; angles 90.00, 90.00, 90.00 degrees
Sites, in units of the cell vectors:
1 Al 0.0000 0.0000 0.0000
2 Sn 0.5000 0.5000 0.5000
3 Te 0.5000 0.5000 0.0000
4 I 0.0000 0.5000 0.5000
5 I 0.5000 0.0000 0.5000

- Density of states at the Fermi level: 6.76 states/eV/cell
- Energy above the lowest structure with this stoichiometry: 0.161 eV per atom
- Volume: 213.6 Å³/cell
- Formation energy without anion corrections: 0.82 eV/f.u.